1.
A relaxed YHoZr2 crystal, computed with PBE.

Structure (POSCAR):
```
YHoZr2
1.0
3.9332 0.0000 0.0000
0.0000 3.9332 0.0000
0.0000 0.0000 6.8845
Y Zr Ho
1 2 1
Direct
0.5000 0.5000 0.5000
0.0000 0.0000 0.7726
0.0000 0.0000 0.2274
0.5000 0.5000 0.0000
```

For the calculated formation energy, the calculation gives 0.2240 eV per atom. The density of states at the Fermi level is 6.14 states/eV/cell. The value obtained for the excess energy over the best structure of this formula in the dataset is 0.44 eV per formula unit. The magnetic moment is 0.00 μB per formula unit. The total energy is -0.250 hartree per atom. The volume comes out at 106.5 Å³ per cell.

---

2.
A relaxed CsBaGa2Rh crystal, computed with PBE.

Structure (POSCAR):
```
CsBaGa2Rh
1.0
4.9978 0.0000 0.0000
0.0000 5.9984 0.0000
0.0000 0.0000 4.9978
Rh Ga Cs Ba
1 2 1 1
Direct
0.0000 0.0000 0.0000
0.0000 0.0000 0.5000
0.5000 0.0000 0.0000
0.0000 0.5000 0.0000
0.5000 0.5000 0.5000
```

For the calculated formation energy, the calculation gives 0.0126 eV per atom. The density of states at the Fermi level is 5.24 states/eV/cell. The magnetic moment is 0.00 μB per formula unit. The total energy is -0.118 hartree per atom. The volume comes out at 149.8 Å³ per cell.

---

3.
A relaxed LiCaAl2Co crystal, computed with PBE.

Structure (POSCAR):
```
LiCaAl2Co
1.0
4.5231 0.0000 0.0000
0.0000 4.5231 0.0000
0.0000 0.0000 4.7541
Co Ca Li Al
1 1 1 2
Direct
0.0000 0.0000 0.0000
0.5000 0.5000 0.5000
0.0000 0.0000 0.5000
0.5000 0.0000 0.0000
0.0000 0.5000 0.0000
```

For the calculated formation energy, the calculation gives -0.1787 eV per atom. The density of states at the Fermi level is 2.03 states/eV/cell. The magnetic moment is 0.00 μB per formula unit. The total energy is -0.143 hartree per atom. The volume comes out at 97.3 Å³ per cell.

---

4.
A relaxed CuPb2Au crystal, computed with PBE.

Structure (POSCAR):
```
CuPb2Au
1.0
-1.0519 -2.1628 3.4624
3.9104 -0.3108 0.9938
1.5354 4.5043 3.2800
Pb Au Cu
2 1 1
Direct
0.0000 0.9847 0.9095
0.5000 0.2747 0.3248
0.0000 0.6976 0.4789
0.5000 0.5430 0.7867
```

For the calculated formation energy, the calculation gives 0.0367 eV per atom. The density of states at the Fermi level is 1.52 states/eV/cell. The value obtained for the excess energy over the best structure of this formula in the dataset is 0.00 eV per formula unit. The magnetic moment is 0.00 μB per formula unit. The total energy is -0.135 hartree per atom. The volume comes out at 92.9 Å³ per cell.

---

5.
A relaxed Ca3ReHg crystal, computed with PBE.

Structure (POSCAR):
```
Ca3ReHg
1.0
-1.5966 4.5055 2.7361
-1.7785 -3.1516 4.1520
4.9621 0.3201 2.3685
Re Ca Hg
1 3 1
Direct
0.0000 0.0000 0.0000
0.0000 0.5000 0.0000
0.5000 0.0000 0.0000
0.0000 0.0000 0.5000
0.5000 0.5000 0.5000
```

For the calculated formation energy, the calculation gives 0.5784 eV per atom. The density of states at the Fermi level is 3.79 states/eV/cell. The value obtained for the excess energy over the best structure of this formula in the dataset is 0.00 eV per formula unit. The magnetic moment is 1.04 μB per formula unit. The total energy is -0.117 hartree per atom. The volume comes out at 167.1 Å³ per cell.

---

6.
A relaxed Ag4RhBr6 crystal, computed with PBE.

Structure (POSCAR):
```
Ag4RhBr6
1.0
-4.3326 -3.5332 5.1172
-0.1534 -7.6813 0.1791
8.6174 -4.0134 10.1376
Br Rh Ag
12 2 8
Direct
0.7356 0.8257 0.2017
0.4280 0.5379 0.1562
0.3935 0.1163 0.4535
0.0367 0.6163 0.9535
0.5429 0.5205 0.4639
0.8536 0.2025 0.9559
0.4727 0.0205 0.9639
0.0545 0.1525 0.2606
0.2369 0.3257 0.7017
0.5324 0.6525 0.7606
0.9879 0.7025 0.4559
0.8779 0.0379 0.6562
0.1508 0.2922 0.8935
0.6635 0.7922 0.3935
0.3545 0.7595 0.2980
0.8844 0.6733 0.6709
0.7715 0.1733 0.1709
0.2590 0.9850 0.6513
0.7776 0.1207 0.4486
0.6531 0.6207 0.9486
0.1046 0.4850 0.1513
0.5880 0.2595 0.7980
```

As for the uncorrected formation energy: -0.185 eV/atom. The magnetic moment is 2.95 μB per formula unit. The total energy is -0.103 hartree per atom. The volume comes out at 665.2 Å³ per cell.

---

7.
A relaxed Sr2Mg2P3 crystal, computed with PBE.

Structure (POSCAR):
```
Sr2Mg2P3
1.0
4.2233 0.0000 0.9362
1.9454 8.0381 1.2184
-0.0025 -0.0172 10.0056
P Sr Mg
6 4 4
Direct
0.8472 0.5038 0.8019
0.6159 0.2319 0.5363
0.3841 0.7681 0.4637
0.0680 0.9782 0.8857
0.9320 0.0218 0.1143
0.1528 0.4962 0.1981
0.7285 0.8728 0.6702
0.6145 0.7343 0.0368
0.2715 0.1272 0.3298
0.3855 0.2657 0.9632
0.4111 0.5223 0.6556
0.0398 0.2368 0.6836
0.5889 0.4777 0.3444
0.9602 0.7632 0.3164
```

For the calculated formation energy, the calculation gives -0.9646 eV per atom. The magnetic moment is 0.00 μB per formula unit. The total energy is -0.155 hartree per atom. The volume comes out at 339.7 Å³ per cell.

---

8.
A relaxed Nd3RhSCl crystal, computed with PBE.

Structure (POSCAR):
```
Nd3RhSCl
1.0
-4.0163 -0.1025 0.5364
-0.2035 -7.8842 -3.0302
1.2533 -1.2738 9.1417
S Nd Rh Cl
2 6 2 2
Direct
0.7500 0.8195 0.7701
0.2500 0.1805 0.2299
0.2500 0.7239 0.4994
0.7500 0.8907 0.1076
0.2500 0.1093 0.8924
0.7500 0.2761 0.5006
0.7500 0.4283 0.1574
0.2500 0.5717 0.8426
0.7500 0.3324 0.8467
0.2500 0.6676 0.1533
0.7500 0.9009 0.4022
0.2500 0.0991 0.5978
```

The density of states at the Fermi level is 7.77 states/eV/cell. As for the uncorrected formation energy: -1.152 eV/atom. The magnetic moment is 0.00 μB per formula unit. The total energy is -0.212 hartree per atom. The volume comes out at 310.6 Å³ per cell.